The following is a DFT calculation (PBE) of a geometry-optimized Ti3MnAg structure.

Calculated values
E above lowest polymorph ... 0 meV per atom
Energy of formation ... 0.3864 eV/atom

Cell lengths 4.504, 4.504, 4.504 Å; angles 90.00, 90.00, 90.00 degrees
Space group Pm-3m (No. 221)
One atom of each set of equivalent atoms:
Ti1 0.000 0.000 0.500 x3
Mn1 0.000 0.000 0.000 x1
Ag1 0.500 0.500 0.500 x1



The following is a DFT calculation (PBE) of a geometry-optimized LiCa3Pt structure.

Calculated values
E above lowest polymorph ... 38 meV per atom
Energy of formation ... -0.4208 eV/atom

Cell lengths 5.615, 5.615, 5.615 Å; angles 90.00, 90.00, 90.00 degrees
Space group Pm-3m (No. 221)
One atom of each set of equivalent atoms:
Li1 0.000 0.000 0.000 x1
Ca1 0.000 0.500 0.500 x3
Pt1 0.500 0.500 0.500 x1